[1]
PBE LuPuCdGa, relaxed; magnetization = 6.0 μB per cell; total energy = -5.94 eV/atom; space-group type = No. 216; DOS(E_F) = 1.869 states/eV per atom; DFT formation energy = -240 meV per atom
1.0
0.0000 3.6422 3.6422
3.6422 0.0000 3.6422
3.6422 3.6422 0.0000
Lu Pu Cd Ga
1 1 1 1
Direct
0.0000 0.0000 0.0000
0.5000 0.5000 0.5000
0.2500 0.2500 0.2500
0.7500 0.7500 0.7500

[2]
PBE Pr3MgSc, relaxed; magnetization = 0.0 μB per cell; total energy = -4.28 eV/atom; space-group type = No. 11; DOS(E_F) = 1.044 states/eV per atom; DFT formation energy = 172 meV per atom
1.0
3.7307 0.0000 0.0000
0.0000 11.5818 0.0000
-1.8509 0.0000 7.7833
Pr Mg Sc
6 2 2
Direct
0.1436 0.0064 0.2849
0.1436 0.4936 0.2849
0.3041 0.2500 0.6057
0.6959 0.7500 0.3943
0.8564 0.5064 0.7151
0.8564 0.9936 0.7151
0.0167 0.7500 0.0404
0.9833 0.2500 0.9596
0.3656 0.7500 0.7348
0.6344 0.2500 0.2652

- Which of these has the highest total energy?
  Pr3MgSc

- Among the records above, which one has the highest magnetization?
  LuPuCdGa